[1]
! Be2TcOs2 | Alexandria | GGA-PBE | optimized geometry; values from VASP
&SYSTEM
  ibrav = 0, nat = 10, ntyp = 3
/
ATOMIC_SPECIES
Be 9.01 Be.upf
Os 190.23 Os.upf
Tc 98.00 Tc.upf
CELL_PARAMETERS angstrom
-0.850 -2.083 5.896
5.953 -2.089 0.120
0.882 2.573 1.036
ATOMIC_POSITIONS angstrom
Be 4.873 -2.595 2.295
Be 3.001 -3.129 5.213
Be 0.231 -1.578 3.721
Be 2.103 -1.044 0.802
Os 4.248 -0.437 1.556
Os 4.863 -1.843 4.525
Os 1.738 -1.163 5.496
Os 1.123 0.244 2.527
Tc 0.000 0.000 0.000
Tc 2.552 -2.086 3.008
! Energy above the most stable polymorph in this dataset (meV per atom): 0

[2]
! Cd2PO | Alexandria | GGA-PBE | optimized geometry; values from VASP
&SYSTEM
  ibrav = 0, nat = 4, ntyp = 3
/
ATOMIC_SPECIES
P 30.97 P.upf
O 16.00 O.upf
Cd 112.41 Cd.upf
CELL_PARAMETERS angstrom
-2.352 -1.354 3.654
-3.725 2.280 1.282
-4.111 -1.886 -0.511
ATOMIC_POSITIONS angstrom
P -5.094 -0.480 2.213
O 0.000 0.000 0.000
Cd -2.547 -0.240 1.106
Cd -7.641 -0.720 3.319
! Energy above the most stable polymorph in this dataset (meV per atom): 438
! Formation energy without anion corrections (eV per atom): 0.1522

[3]
! Ti3AlH | Alexandria | GGA-PBE | optimized geometry; values from VASP
&SYSTEM
  ibrav = 0, nat = 20, ntyp = 3
/
ATOMIC_SPECIES
H 1.01 H.upf
Al 26.98 Al.upf
Ti 47.87 Ti.upf
CELL_PARAMETERS angstrom
-5.303 -3.691 7.573
-0.912 -6.679 1.298
6.787 -0.683 -0.772
ATOMIC_POSITIONS angstrom
H 1.465 -2.650 2.228
H 2.687 -7.722 2.168
H -0.893 -8.403 5.871
H -2.116 -3.331 5.931
Al 1.017 -5.116 5.437
Al -0.446 -5.936 2.662
Al -3.986 -6.668 6.369
Al 4.557 -4.384 1.730
Ti 0.267 -3.410 3.480
Ti 3.782 -6.833 0.907
Ti 0.304 -7.643 4.620
Ti -3.210 -4.220 7.192
Ti -0.066 -2.055 1.025
Ti 2.369 -5.999 3.205
Ti 0.637 -8.998 7.074
Ti -1.798 -5.053 4.894
Ti 3.223 -3.379 3.901
Ti -1.274 -6.748 6.966
Ti -2.652 -7.674 4.198
Ti 1.845 -4.305 1.134
! Calculated total energy (eV/atom): -6.38

[4]
! Cs3GaSn4 | Alexandria | GGA-PBE | optimized geometry; values from VASP
&SYSTEM
  ibrav = 0, nat = 16, ntyp = 3
/
ATOMIC_SPECIES
Cs 132.91 Cs.upf
Sn 118.71 Sn.upf
Ga 69.72 Ga.upf
CELL_PARAMETERS angstrom
-6.117 0.262 -1.422
-1.281 -6.155 4.376
-2.282 8.578 11.397
ATOMIC_POSITIONS angstrom
Cs -3.433 0.147 -0.798
Cs -4.465 1.327 7.263
Cs -7.417 3.466 9.407
Cs -6.334 -0.606 3.998
Cs -2.764 6.587 8.455
Cs -1.565 2.080 2.467
Sn -4.705 4.504 11.662
Sn -3.001 -1.904 3.148
Sn -0.686 -1.813 1.227
Sn -1.207 -4.316 3.007
Sn -7.972 -0.365 7.834
Sn -7.212 3.286 5.238
Sn -4.898 3.377 3.316
Sn -5.475 5.548 6.200
Ga -4.753 -2.901 1.232
Ga -3.145 4.375 5.233
! Calculated total energy (eV/atom): -2.94

[5]
! Al2HgSeI | Alexandria | GGA-PBE | optimized geometry; values from VASP
&SYSTEM
  ibrav = 0, nat = 5, ntyp = 4
/
ATOMIC_SPECIES
I 126.90 I.upf
Hg 200.59 Hg.upf
Se 78.96 Se.upf
Al 26.98 Al.upf
CELL_PARAMETERS angstrom
-3.415 -4.258 -0.653
1.759 -0.677 -4.788
3.876 -3.401 1.905
ATOMIC_POSITIONS angstrom
I 1.110 -4.168 -1.768
Hg 0.000 0.000 0.000
Se 0.880 -0.338 -2.394
Al 1.938 -1.700 0.953
Al -1.707 -2.129 -0.326
! Formation energy without anion corrections (eV per atom): 0.4170

[6]
! PuUIrRu | Alexandria | GGA-PBE | optimized geometry; values from VASP
&SYSTEM
  ibrav = 0, nat = 4, ntyp = 4
/
ATOMIC_SPECIES
Pu 244.00 Pu.upf
U 238.03 U.upf
Ir 192.22 Ir.upf
Ru 101.07 Ru.upf
CELL_PARAMETERS angstrom
4.610 0.000 0.000
2.305 3.992 0.000
2.305 1.331 3.764
ATOMIC_POSITIONS angstrom
Pu 4.610 2.661 1.882
U 2.305 1.331 0.941
Ir 6.915 3.992 2.823
Ru 0.000 0.000 0.000
! Energy above the most stable polymorph in this dataset (meV per atom): 0

[7]
! LaSb2Pd7Pb2 | Alexandria | GGA-PBE | optimized geometry; values from VASP
&SYSTEM
  ibrav = 0, nat = 12, ntyp = 4
/
ATOMIC_SPECIES
La 138.91 La.upf
Sb 121.76 Sb.upf
Pd 106.42 Pd.upf
Pb 207.20 Pb.upf
CELL_PARAMETERS angstrom
-3.693 1.853 0.293
-0.423 -1.419 3.869
5.708 12.760 6.457
ATOMIC_POSITIONS angstrom
La 0.000 0.000 0.000
Sb 1.936 9.797 7.195
Sb -0.344 3.398 3.424
Pd -2.058 0.217 2.081
Pd 0.834 5.581 4.345
Pd 0.757 7.613 6.274
Pd -2.925 2.955 2.992
Pd -1.292 1.321 4.777
Pd 2.883 11.873 5.841
Pd 4.516 10.239 7.627
Pb -1.311 5.530 6.260
Pb 2.903 7.664 4.359
! Formation energy without anion corrections (eV per atom): -0.4237

[8]
! CaLa3Tc | Alexandria | GGA-PBE | optimized geometry; values from VASP
&SYSTEM
  ibrav = 0, nat = 20, ntyp = 3
/
ATOMIC_SPECIES
Ca 40.08 Ca.upf
Tc 98.00 Tc.upf
La 138.91 La.upf
CELL_PARAMETERS angstrom
7.525 7.525 0.000
0.000 7.525 7.525
7.525 0.000 7.525
ATOMIC_POSITIONS angstrom
Ca 1.881 1.881 1.881
Ca 5.644 1.881 5.644
Ca 1.881 5.644 5.644
Ca 5.644 5.644 1.881
Tc 9.406 9.406 9.406
Tc 5.644 9.406 5.644
Tc 9.406 5.644 5.644
Tc 5.644 5.644 9.406
La 4.748 7.525 7.525
La 8.510 11.287 11.287
La 11.287 11.287 8.510
La 14.065 11.287 11.287
La 11.287 14.065 11.287
La 7.525 10.302 7.525
La 11.287 8.510 11.287
La 11.287 11.287 14.065
La 7.525 4.748 7.525
La 10.302 7.525 7.525
La 7.525 7.525 4.748
La 7.525 7.525 10.302
! Energy above the most stable polymorph in this dataset (meV per atom): 286

[9]
! La2Ga2S | Alexandria | GGA-PBE | optimized geometry; values from VASP
&SYSTEM
  ibrav = 0, nat = 10, ntyp = 3
/
ATOMIC_SPECIES
S 32.06 S.upf
Ga 69.72 Ga.upf
La 138.91 La.upf
CELL_PARAMETERS angstrom
7.880 0.000 0.000
0.000 7.880 0.000
0.000 0.000 4.653
ATOMIC_POSITIONS angstrom
S 0.000 0.000 0.000
S 3.940 3.940 0.000
Ga 0.891 4.831 2.326
Ga 4.831 6.989 2.326
Ga 6.989 3.049 2.326
Ga 3.049 0.891 2.326
La 2.490 6.430 0.000
La 6.430 5.390 0.000
La 5.390 1.450 0.000
La 1.450 2.490 0.000
! Formation energy without anion corrections (eV per atom): -0.8319

[10]
! MnCrAs2 | Alexandria | GGA-PBE | optimized geometry; values from VASP
&SYSTEM
  ibrav = 0, nat = 4, ntyp = 3
/
ATOMIC_SPECIES
As 74.92 As.upf
Cr 52.00 Cr.upf
Mn 54.94 Mn.upf
CELL_PARAMETERS angstrom
-3.898 -2.124 -2.912
1.078 -3.693 -3.660
1.087 1.020 5.096
ATOMIC_POSITIONS angstrom
As 0.000 0.000 0.000
As 0.377 -2.790 -0.925
Cr -1.410 -2.909 -3.286
Mn -2.111 -2.006 -0.551
! Energy above the most stable polymorph in this dataset (meV per atom): 245

[11]
! RbPdI6 | Alexandria | GGA-PBE | optimized geometry; values from VASP
&SYSTEM
  ibrav = 0, nat = 8, ntyp = 3
/
ATOMIC_SPECIES
Rb 85.47 Rb.upf
Pd 106.42 Pd.upf
I 126.90 I.upf
CELL_PARAMETERS angstrom
-8.007 2.202 2.640
-1.847 -6.894 5.000
-1.996 0.740 8.064
ATOMIC_POSITIONS angstrom
Rb -5.925 -1.976 7.852
Pd 0.000 0.000 0.000
I -9.663 -1.926 8.158
I -7.443 -5.205 9.008
I -4.408 1.253 6.695
I -2.187 -2.025 7.546
I -1.676 -0.620 1.986
I -10.174 -3.332 13.718
! Formation energy without anion corrections (eV per atom): -0.3912

[12]
! ZnCu3Pd3 | Alexandria | GGA-PBE | optimized geometry; values from VASP
&SYSTEM
  ibrav = 0, nat = 14, ntyp = 3
/
ATOMIC_SPECIES
Zn 65.41 Zn.upf
Cu 63.55 Cu.upf
Pd 106.42 Pd.upf
CELL_PARAMETERS angstrom
-4.429 -2.425 3.190
3.262 0.561 4.972
-2.240 5.246 0.878
ATOMIC_POSITIONS angstrom
Zn -2.555 4.742 3.083
Zn -0.852 -1.360 5.958
Cu -1.450 2.097 2.746
Cu 0.002 2.353 4.916
Cu -3.409 1.029 4.125
Cu 1.172 -0.251 4.488
Cu -2.339 -1.614 3.675
Cu -1.957 1.285 6.295
Pd -2.838 2.049 8.818
Pd -2.776 0.104 1.816
Pd 1.069 1.596 2.706
Pd -0.631 3.278 7.225
Pd -4.476 1.785 6.335
Pd -0.569 1.333 0.223
! Calculated total energy (eV/atom): -4.29

[13]
! Cd2FeC6N6 | Alexandria | GGA-PBE | optimized geometry; values from VASP
&SYSTEM
  ibrav = 0, nat = 15, ntyp = 4
/
ATOMIC_SPECIES
C 12.01 C.upf
N 14.01 N.upf
Fe 55.84 Fe.upf
Cd 112.41 Cd.upf
CELL_PARAMETERS angstrom
-3.313 5.436 -0.457
0.673 -3.766 -5.109
-5.333 -3.117 1.595
ATOMIC_POSITIONS angstrom
C -2.966 0.731 -3.986
C -0.785 -1.428 -0.910
C -5.008 -2.177 0.015
C -1.714 0.718 0.175
C -3.876 -5.454 -2.604
C -6.932 1.602 0.963
N -3.249 0.116 -3.012
N -1.342 -2.336 -1.430
N -2.830 1.097 0.306
N -5.817 1.222 0.832
N -3.318 -4.546 -2.084
N -4.725 -1.562 -0.958
Fe 0.000 0.000 0.000
Cd -3.322 -2.257 -2.761
Cd -4.651 0.810 -1.210
! Formation energy without anion corrections (eV per atom): 0.2061

[14]
! NaAlSbTe | Alexandria | GGA-PBE | optimized geometry; values from VASP
&SYSTEM
  ibrav = 0, nat = 8, ntyp = 4
/
ATOMIC_SPECIES
Na 22.99 Na.upf
Al 26.98 Al.upf
Sb 121.76 Sb.upf
Te 127.60 Te.upf
CELL_PARAMETERS angstrom
-5.393 4.676 -0.111
-2.848 -3.252 1.380
3.113 0.383 7.325
ATOMIC_POSITIONS angstrom
Na -1.904 2.590 2.172
Na -1.772 1.156 6.525
Al 2.480 0.697 6.760
Al -0.500 -1.120 3.788
Sb 0.850 1.177 4.529
Sb -2.130 -0.640 1.556
Te -1.863 3.725 4.931
Te -4.843 1.907 1.959
! Energy above the most stable polymorph in this dataset (meV per atom): 106
! Formation energy without anion corrections (eV per atom): -0.2707

[15]
! PuIn3Au2 | Alexandria | GGA-PBE | optimized geometry; values from VASP
&SYSTEM
  ibrav = 0, nat = 12, ntyp = 3
/
ATOMIC_SPECIES
Pu 244.00 Pu.upf
In 114.82 In.upf
Au 196.97 Au.upf
CELL_PARAMETERS angstrom
6.827 0.000 0.000
3.413 5.912 0.000
3.413 1.971 7.122
ATOMIC_POSITIONS angstrom
Pu 10.240 5.912 4.687
Pu 3.413 1.971 2.435
In 5.146 4.911 2.109
In 6.827 2.001 2.109
In 8.507 4.911 2.109
In 6.827 5.881 5.013
In 8.507 2.971 5.013
In 5.146 2.971 5.013
Au 0.000 0.000 0.000
Au 1.707 2.956 0.000
Au 5.120 2.956 0.000
Au 3.413 0.000 0.000
! Energy above the most stable polymorph in this dataset (meV per atom): 107

[16]
! Tb4DyErSe8 | Alexandria | GGA-PBE | optimized geometry; values from VASP
&SYSTEM
  ibrav = 0, nat = 14, ntyp = 4
/
ATOMIC_SPECIES
Tb 158.93 Tb.upf
Dy 162.50 Dy.upf
Er 167.26 Er.upf
Se 78.96 Se.upf
CELL_PARAMETERS angstrom
8.433 0.000 0.000
4.217 7.303 0.000
4.217 2.434 6.875
ATOMIC_POSITIONS angstrom
Tb 8.433 4.869 0.871
Tb 4.217 4.867 3.438
Tb 6.323 1.218 3.438
Tb 2.110 1.218 3.438
Dy 8.433 4.869 6.006
Er 4.217 2.434 6.871
Se 8.433 7.460 5.132
Se 10.677 3.573 5.132
Se 6.189 3.573 5.132
Se 4.217 2.434 1.853
Se 8.433 2.267 1.745
Se 6.180 6.170 1.745
Se 10.686 6.170 1.745
Se 12.650 7.303 5.012
! Formation energy without anion corrections (eV per atom): -1.7170

[17]
! La2MgBe | Alexandria | GGA-PBE | optimized geometry; values from VASP
&SYSTEM
  ibrav = 0, nat = 4, ntyp = 3
/
ATOMIC_SPECIES
Be 9.01 Be.upf
Mg 24.30 Mg.upf
La 138.91 La.upf
CELL_PARAMETERS angstrom
5.984 0.002 0.000
2.497 5.438 0.000
-4.241 -2.720 3.229
ATOMIC_POSITIONS angstrom
Be 2.992 0.001 1.615
Mg 4.241 2.720 0.000
La 0.000 0.000 0.000
La 1.249 2.719 1.615
! Energy above the most stable polymorph in this dataset (meV per atom): 197

[18]
! PrPa2AgO8 | Alexandria | GGA-PBE | optimized geometry; values from VASP
&SYSTEM
  ibrav = 0, nat = 12, ntyp = 4
/
ATOMIC_SPECIES
Pr 140.91 Pr.upf
Pa 231.04 Pa.upf
Ag 107.87 Ag.upf
O 16.00 O.upf
CELL_PARAMETERS angstrom
5.511 0.000 0.000
0.000 5.511 0.000
-2.755 -2.755 5.419
ATOMIC_POSITIONS angstrom
Pr 2.755 0.000 2.710
Pa 2.755 2.755 0.000
Pa 0.000 2.755 2.710
Ag 0.000 0.000 0.000
O 4.132 4.011 1.353
O 1.379 1.500 1.353
O 1.255 1.375 4.065
O -1.255 -1.375 4.065
O 4.130 1.501 1.354
O 1.381 4.010 1.354
O -1.256 1.376 4.066
O 1.256 -1.376 4.066
! Formation energy without anion corrections (eV per atom): -2.7353

[19]
! CsPuScCl6 | Alexandria | GGA-PBE | optimized geometry; values from VASP
&SYSTEM
  ibrav = 0, nat = 9, ntyp = 4
/
ATOMIC_SPECIES
Cs 132.91 Cs.upf
Pu 244.00 Pu.upf
Sc 44.96 Sc.upf
Cl 35.45 Cl.upf
CELL_PARAMETERS angstrom
-4.656 -3.668 -3.693
1.456 -1.889 -6.564
3.153 -6.629 2.607
ATOMIC_POSITIONS angstrom
Cs -1.503 -10.297 -1.086
Pu -0.557 -7.019 -5.534
Sc 0.510 -5.167 -2.115
Cl 1.356 -2.808 -1.639
Cl 0.569 -5.953 0.311
Cl -0.166 -7.528 -2.804
Cl 2.954 -5.861 -2.340
Cl 0.208 -4.504 -4.560
Cl -1.862 -4.347 -1.658
! Formation energy without anion corrections (eV per atom): -2.0247

[20]
! Tb6Pr16Dy7 | Alexandria | GGA-PBE | optimized geometry; values from VASP
&SYSTEM
  ibrav = 0, nat = 29, ntyp = 3
/
ATOMIC_SPECIES
Tb 158.93 Tb.upf
Pr 140.91 Pr.upf
Dy 162.50 Dy.upf
CELL_PARAMETERS angstrom
9.861 0.000 5.693
3.287 9.297 5.693
0.000 0.000 11.387
ATOMIC_POSITIONS angstrom
Tb 5.027 6.837 8.706
Tb 8.122 2.460 14.067
Tb 8.122 2.460 8.706
Tb 5.027 6.837 14.067
Tb 9.669 6.837 11.387
Tb 3.479 2.460 11.387
Pr 11.500 8.132 14.242
Pr 11.500 8.132 19.918
Pr 9.861 3.497 17.080
Pr 6.584 8.132 17.080
Pr 1.648 1.166 2.855
Pr 1.648 1.166 8.532
Pr 3.287 5.800 5.693
Pr 6.564 1.166 5.693
Pr 8.535 6.035 7.990
Pr 8.535 6.035 14.783
Pr 6.574 0.489 11.387
Pr 2.652 6.035 11.387
Pr 4.613 3.262 7.990
Pr 4.613 3.262 14.783
Pr 6.574 8.809 11.387
Pr 10.496 3.262 11.387
Dy 0.000 0.000 0.000
Dy 4.931 0.000 8.540
Dy 1.644 4.649 2.847
Dy 1.644 4.649 8.540
Dy 4.931 0.000 2.847
Dy 0.000 0.000 5.693
Dy 6.574 4.649 5.693
! Calculated total energy (eV/atom): -4.50

[21]
! VSi2I | Alexandria | GGA-PBE | optimized geometry; values from VASP
&SYSTEM
  ibrav = 0, nat = 4, ntyp = 3
/
ATOMIC_SPECIES
I 126.90 I.upf
Si 28.09 Si.upf
V 50.94 V.upf
CELL_PARAMETERS angstrom
4.283 -1.652 -0.754
1.395 -3.901 2.117
0.588 -3.902 -2.465
ATOMIC_POSITIONS angstrom
I 3.133 -4.727 -0.551
Si 1.567 -2.364 -0.276
Si 4.700 -7.091 -0.827
V 0.000 0.000 0.000
! Energy above the most stable polymorph in this dataset (meV per atom): 428
! Formation energy without anion corrections (eV per atom): 1.0957

| no. | M_tot (μB/atom) | DOS(E_F) (states/eV per atom) |
| --- | --- | --- |
| 1 | 0.00 | 0.400 |
| 2 | 0.25 | 0.704 |
| 3 | 0.00 | 0.425 |
| 4 | 0.00 | 0.465 |
| 5 | 0.00 | 0.662 |
| 6 | 0.90 | 1.277 |
| 7 | 0.00 | 0.404 |
| 8 | 0.00 | 2.115 |
| 9 | 0.00 | 1.444 |
| 10 | 1.73 | 0.854 |
| 11 | 0.00 | 0.407 |
| 12 | 0.00 | 0.259 |
| 13 | 0.01 | 0.000 |
| 14 | 0.00 | 0.167 |
| 15 | 0.95 | 2.490 |
| 16 | 0.00 | 0.611 |
| 17 | 0.00 | 1.069 |
| 18 | 0.00 | 0.569 |
| 19 | 0.67 | 1.587 |
| 20 | 0.00 | 1.365 |
| 21 | 0.11 | 0.842 |